VASP calculation (PBE-GGA) on crystalline MnGa4Rh5 at its relaxed geometry.

Structure (CIF):
```
data_MnGa4Rh5
_chemical_formula_sum 'Mn1 Ga4 Rh5'
_space_group_name_H-M_alt 'P 1'
_space_group_IT_number 1
_cell_length_a 3.0403
_cell_length_b 3.0403
_cell_length_c 15.1754
_cell_angle_alpha 90.00
_cell_angle_beta 90.00
_cell_angle_gamma 90.00
loop_
_space_group_symop_operation_xyz
'x,y,z'
loop_
_atom_site_label
_atom_site_type_symbol
_atom_site_fract_x
_atom_site_fract_y
_atom_site_fract_z
Rh1 Rh 0.5000 0.5000 0.6985
Rh2 Rh 0.5000 0.5000 0.3015
Ga1 Ga 0.0000 0.0000 0.1974
Ga2 Ga 0.0000 0.0000 0.3994
Ga3 Ga 0.0000 0.0000 0.6006
Rh3 Rh 0.5000 0.5000 0.8962
Mn1 Mn 0.0000 0.0000 0.0000
Rh4 Rh 0.5000 0.5000 0.1038
Rh5 Rh 0.5000 0.5000 0.5000
Ga4 Ga 0.0000 0.0000 0.8026
```

Results
The space group is P4/mmm.

VASP calculation (PBE-GGA) on crystalline Ac3Zn4Ru2 at its relaxed geometry.

Structure (CIF):
```
data_Ac3Zn4Ru2
_chemical_formula_sum 'Ac3 Zn4 Ru2'
_space_group_name_H-M_alt 'P 1'
_space_group_IT_number 1
_cell_length_a 4.2664
_cell_length_b 6.3598
_cell_length_c 9.3957
_cell_angle_alpha 66.69
_cell_angle_beta 76.88
_cell_angle_gamma 70.40
loop_
_space_group_symop_operation_xyz
'x,y,z'
loop_
_atom_site_label
_atom_site_type_symbol
_atom_site_fract_x
_atom_site_fract_y
_atom_site_fract_z
Ac1 Ac 0.3137 0.7239 0.6487
Zn1 Zn 0.7209 0.6184 0.9397
Ac2 Ac 0.6863 0.2761 0.3513
Zn2 Zn 0.9605 0.7067 0.3723
Zn3 Zn 0.0395 0.2933 0.6277
Zn4 Zn 0.2791 0.3816 0.0603
Ac3 Ac 0.0000 0.0000 0.0000
Ru1 Ru 0.6151 0.0366 0.7332
Ru2 Ru 0.3849 0.9634 0.2668
```

Results
The space group is C2/m. For the distance to the lowest polymorph of the same formula, the calculation gives 0.0 meV/atom.

| no. | DFT formation energy (eV/atom) |
| --- | --- |
| 1 | -0.617 |
| 2 | -0.243 |